1.
VASP calculation (PBEsol) on Mg2Cu2Sb after structural relaxation.

The value obtained for the total magnetic moment is 0.000 μB per formula unit. As for the density: 5.2 g/cm³. The raw formation energy is 0.048 eV/f.u. Its total energy is -3.3223 eV per atom.

abc: 3.3436 3.3436 16.9143
angles: 90.00 90.00 90.00
Space group I4/mmm (No. 139)
Inequivalent atoms, fractional coordinates:
Mg  0.0000  0.0000  0.1244
Cu  0.0000  0.5000  0.2500
Sb  0.0000  0.0000  0.5000

---

2.
VASP calculation (PBEsol) on MgCu2Sb2 after structural relaxation.

The value obtained for the total magnetic moment is 0.000 μB per formula unit. As for the density: 6.3 g/cm³. The raw formation energy is 0.971 eV/f.u. Its total energy is -3.7058 eV per atom.

abc: 4.2572 4.2572 11.3984
angles: 90.00 90.00 90.00
Space group I4/mmm (No. 139)
Inequivalent atoms, fractional coordinates:
Mg  0.0000  0.0000  0.0000
Cu  0.0000  0.0000  0.3979
Sb  0.0000  0.5000  0.2500

---

3.
VASP calculation (PBEsol) on MgCuSb2 after structural relaxation.

The value obtained for the total magnetic moment is 0.000 μB per formula unit. As for the density: 6.5 g/cm³. The raw formation energy is 0.224 eV/f.u. Its total energy is -3.7354 eV per atom.

abc: 3.9344 5.1927 8.3402
angles: 90.00 90.00 90.00
Space group Immm (No. 71)
Inequivalent atoms, fractional coordinates:
Mg  0.0000  0.0000  0.0000
Cu  0.0000  0.0000  0.5000
Sb  0.0000  0.5000  0.2172

---

4.
VASP calculation (PBEsol) on MgCuSb2 after structural relaxation.

The value obtained for the total magnetic moment is 0.000 μB per formula unit. As for the density: 6.6 g/cm³. The raw formation energy is 0.372 eV/f.u. Its total energy is -3.6984 eV per atom.

abc: 4.0510 4.0510 10.2016
angles: 90.00 90.00 90.00
Space group I-4m2 (No. 119)
Inequivalent atoms, fractional coordinates:
Mg  0.0000  0.0000  0.0000
Cu  0.0000  0.5000  0.7500
Sb  0.0000  0.0000  0.5000
Sb  0.0000  0.5000  0.2500